1.
The following is a PBE-GGA calculation of a geometry-optimized PmPdPtAu structure, from Alexandria via LeMat-Bulk.

abc: 4.0646 4.3159 4.3420
angles: 90.00 90.00 90.00
Atoms (fractional coordinates):
Pm: 0.5000 0.0000 0.5000
Pd: 0.0000 0.5000 0.5000
Pt: 0.0000 0.0000 0.0000
Au: 0.5000 0.5000 0.0000

## Properties
* energy of formation from the pure elements: -305 kJ/mol of formula units
* distance to the lowest polymorph of the same formula: 0.0 meV per atom
* crystal system: orthorhombic

2.
The following is a PBE-GGA calculation of a geometry-optimized BeNbCrBi2 structure, from Alexandria via LeMat-Bulk.

abc: 5.1132 4.6264 5.1132
angles: 90.00 90.00 90.00
Last column: magnetic moment on the atom in μB.
Atoms (fractional coordinates):
Cr: 0.0000 0.0000 0.0000  1.02
Nb: 0.0000 0.5000 0.0000  -0.55
Bi: 0.0000 0.0000 0.5000  0.00
Bi: 0.5000 0.0000 0.0000  -0.03
Be: 0.5000 0.5000 0.5000  0.04

## Properties
* energy of formation from the pure elements: 575 kJ/mol of formula units
* crystal system: tetragonal

3.
The following is a PBE-GGA calculation of a geometry-optimized V2ZnRe structure, from Alexandria via LeMat-Bulk.

abc: 6.8993 6.8993 5.5252
angles: 51.37 51.37 90.00
Atoms (fractional coordinates):
Re: 0.0000 0.0000 0.0000
Re: 0.7500 0.2500 0.5000
Zn: 0.5000 0.5000 0.0000
Zn: 0.2500 0.7500 0.5000
V: 0.6490 0.1250 0.2500
V: 0.1010 0.6250 0.2500
V: 0.3750 0.3510 0.7500
V: 0.8750 0.8990 0.7500

## Properties
* energy of formation from the pure elements: 213 kJ/mol of formula units
* crystal system: tetragonal

4.
The following is a PBE-GGA calculation of a geometry-optimized DyCoRu structure, from Alexandria via LeMat-Bulk.

abc: 4.0167 4.0293 4.0293
angles: 120.00 90.00 90.00
Last column: magnetic moment on the atom in μB.
Atoms (fractional coordinates):
Ru: 0.1666 0.3333 0.6667  0.63
Co: 0.1667 0.0000 0.0000  1.12
Dy: 0.6667 0.6667 0.3333  -0.10

## Properties
* energy of formation from the pure elements: -36 kJ/mol of formula units
* distance to the lowest polymorph of the same formula: 137.5 meV per atom
* crystal system: hexagonal

5.
The following is a PBE-GGA calculation of a geometry-optimized Tb2DyPt structure, from Alexandria via LeMat-Bulk.

abc: 3.9240 3.9240 9.3036
angles: 77.83 77.83 60.00
Atoms (fractional coordinates):
Tb: 0.0612 0.0612 0.8164
Tb: 0.2715 0.2715 0.1854
Dy: 0.5015 0.5015 0.4956
Pt: 0.6658 0.6658 0.0025

## Properties
* energy of formation from the pure elements: -195 kJ/mol of formula units
* distance to the lowest polymorph of the same formula: 204.6 meV per atom
* crystal system: trigonal

6.
The following is a PBE-GGA calculation of a geometry-optimized CaAsP structure, from Alexandria via LeMat-Bulk.

abc: 8.5977 3.7981 10.4027
angles: 90.00 121.71 90.00
Atoms (fractional coordinates):
Ca: 0.2718 0.0000 0.0181
Ca: 0.7282 0.0000 0.9819
Ca: 0.2718 0.5000 0.5181
Ca: 0.7282 0.5000 0.4819
As: 0.8601 0.0000 0.7594
As: 0.1399 0.0000 0.2406
As: 0.8601 0.5000 0.2594
As: 0.1399 0.5000 0.7406
P: 0.3296 0.0000 0.7644
P: 0.6704 0.0000 0.2356
P: 0.3296 0.5000 0.2644
P: 0.6704 0.5000 0.7356

## Properties
* energy of formation from the pure elements: -191 kJ/mol of formula units
* distance to the lowest polymorph of the same formula: 64.3 meV per atom
* crystal system: monoclinic

7.
The following is a PBE-GGA calculation of a geometry-optimized HfTcAgGe2 structure, from Alexandria via LeMat-Bulk.

abc: 4.7556 5.0500 4.7556
angles: 90.00 90.00 90.00
Atoms (fractional coordinates):
Ge: 0.0000 0.0000 0.5000
Ge: 0.5000 0.0000 0.0000
Hf: 0.0000 0.5000 0.0000
Tc: 0.0000 0.0000 0.0000
Ag: 0.5000 0.5000 0.5000

## Properties
* energy of formation from the pure elements: 170 kJ/mol of formula units
* crystal system: tetragonal

8.
The following is a PBE-GGA calculation of a geometry-optimized MnZnIr2 structure, from Alexandria via LeMat-Bulk.

abc: 2.7332 2.7332 7.6018
angles: 90.00 90.00 90.00
Last column: magnetic moment on the atom in μB.
Atoms (fractional coordinates):
Ir: 0.0000 0.0000 0.0023  -0.11
Ir: 0.5000 0.5000 0.2517  -0.11
Mn: 0.0000 0.0000 0.4955  3.04
Zn: 0.5000 0.5000 0.7504  -0.03

## Properties
* energy of formation from the pure elements: -8 kJ/mol of formula units
* crystal system: tetragonal